Entry from the Alexandria database: an optimized crystal structure of CaMn2Si (PBE).

POSCAR file:
```
CaMn2Si
1.0
-3.930 1.146 -0.896
-1.156 -0.893 3.928
0.829 3.690 1.083
Ca Mn Si
1 2 1
Direct
0.000 0.500 0.500
0.500 0.500 0.000
0.000 0.000 0.000
0.500 0.000 0.500
```

Results
The calculation puts the magnetization at 6.77 μB per formula unit. As for the calculated volume: 17.270 Å³ per atom. The calculation puts the uncorrected formation energy at 29 kJ per mole of atoms. As for the symmetry: No. 123.